Here is a geometry-optimized Mg2CdHPb structure from Alexandria. Energies are from PBE.

crystal system	tetragonal
ΔE to the lowest computed polymorph	0	meV/atom
uncorrected energy	-2.1674	eV per atom

abc: 4.5722 4.5722 4.7081
angles: 90.00 90.00 90.00
Last column: nearest neighbours and their distance in Å.
Space group P4/mmm (No. 123)
Symmetry-distinct sites (fractional):
Mg 0.0000 0.5000 0.0000 x2  2 H 2.29
Cd 0.0000 0.0000 0.5000 x1  2 H 2.35
H 0.0000 0.0000 0.0000 x1  4 Mg 2.29, 2 Cd 2.35
Pb 0.5000 0.5000 0.5000 x1  4 Cd 3.23, 8 Mg 3.28

Here is a geometry-optimized RhWCl2 structure from Alexandria. Energies are from PBE.

energy relative to the elements, uncorrected	15.83	kcal/mol of atoms
crystal system	orthorhombic
ΔE to the lowest computed polymorph	878	meV/atom
uncorrected energy	-5.3129	eV per atom

abc: 2.8567 4.2564 5.3397
angles: 90.00 90.00 90.00
Last column: nearest neighbours and their distance in Å.
Space group Pmmm (No. 47)
Symmetry-distinct sites (fractional):
Rh 0.0000 0.0000 0.0000 x1  4 Cl 2.56, 2 Rh 2.86
W 0.5000 0.0000 0.5000 x1  4 Cl 2.56, 2 W 2.86
Cl 0.0000 0.5000 0.5000 x1  4 W 2.56, 2 Cl 2.86
Cl 0.5000 0.5000 0.0000 x1  4 Rh 2.56, 2 Cl 2.86

Here is a geometry-optimized Ba3ZrCd structure from Alexandria. Energies are from PBE.

crystal system	cubic
ΔE to the lowest computed polymorph	0	meV/atom
uncorrected energy	-2.4325	eV per atom
E_form	59.2	kJ per mole of atoms

abc: 6.2832 6.2832 6.2832
angles: 90.00 90.00 90.00
Last column: nearest neighbours and their distance in Å.
Space group Pm-3m (No. 221)
Symmetry-distinct sites (fractional):
Ba 0.0000 0.0000 0.5000 x3  2 Zr 3.14
Zr 0.0000 0.0000 0.0000 x1  6 Ba 3.14
Cd 0.5000 0.5000 0.5000 x1  12 Ba 4.44